a | # SCAN CuWAu2, single point on PBEsol structure
data_CuWAu2
_chemical_formula_sum 'Cu2 W2 Au4'
_symmetry_space_group_name_H-M 'I 4/m m m'
_symmetry_Int_Tables_number 139
_symmetry_space_group_name_Hall '-I 4 2'
_cell_length_a 4.085
_cell_length_b 4.085
_cell_length_c 7.349
_cell_angle_alpha 90.00
_cell_angle_beta 90.00
_cell_angle_gamma 90.00
loop_
_atom_site_label
_atom_site_type_symbol
_atom_site_fract_x
_atom_site_fract_y
_atom_site_fract_z
Cu1 Cu 0.000 0.000 0.000
W1 W 0.000 0.000 0.500
Au1 Au 0.000 0.500 0.250
# * total moment: 0.27 μB per formula unit
# * V: 122.65 Å³ per cell


b | # SCAN CuWAu2, single point on PBEsol structure
data_CuWAu2
_chemical_formula_sum 'Cu3 W3 Au6'
_symmetry_space_group_name_H-M 'R -3 m'
_symmetry_Int_Tables_number 166
_symmetry_space_group_name_Hall '-R 3 2"'
_cell_length_a 2.8125
_cell_length_b 2.8125
_cell_length_c 26.7833
_cell_angle_alpha 90.00
_cell_angle_beta 90.00
_cell_angle_gamma 120.00
loop_
_atom_site_label
_atom_site_type_symbol
_atom_site_fract_x
_atom_site_fract_y
_atom_site_fract_z
Cu1 Cu 0.0000 0.0000 0.0000
W1 W 0.0000 0.0000 0.5000
Au1 Au 0.0000 0.0000 0.2537
# * total moment: 0.00 μB per formula unit
# * V: 183.48 Å³ per cell


Of them, a has the lowest stability.


a | # SCAN IrAuF3, single point on PBEsol structure
data_IrAuF3
_chemical_formula_sum 'Ir1 Au1 F3'
_symmetry_space_group_name_H-M 'P m -3 m'
_symmetry_Int_Tables_number 221
_symmetry_space_group_name_Hall '-P 4 2 3'
_cell_length_a 4.286
_cell_length_b 4.286
_cell_length_c 4.286
_cell_angle_alpha 90.00
_cell_angle_beta 90.00
_cell_angle_gamma 90.00
loop_
_atom_site_label
_atom_site_type_symbol
_atom_site_fract_x
_atom_site_fract_y
_atom_site_fract_z
Ir1 Ir 0.000 0.000 0.000
Au1 Au 0.500 0.500 0.500
F1 F 0.000 0.500 0.500
# * total moment: 3.91 μB per formula unit
# * V: 78.74 Å³ per cell


b | # SCAN IrAuF3, single point on PBEsol structure
data_IrAuF3
_chemical_formula_sum 'Ir1 Au1 F3'
_symmetry_space_group_name_H-M 'P m -3 m'
_symmetry_Int_Tables_number 221
_symmetry_space_group_name_Hall '-P 4 2 3'
_cell_length_a 4.129
_cell_length_b 4.129
_cell_length_c 4.129
_cell_angle_alpha 90.00
_cell_angle_beta 90.00
_cell_angle_gamma 90.00
loop_
_atom_site_label
_atom_site_type_symbol
_atom_site_fract_x
_atom_site_fract_y
_atom_site_fract_z
Ir1 Ir 0.000 0.000 0.000
Au1 Au 0.500 0.500 0.500
F1 F 0.000 0.000 0.500
# * total moment: 0.00 μB per formula unit
# * V: 70.40 Å³ per cell


Of them, a has the lowest stability.


a | # SCAN KAuF2, single point on PBEsol structure
data_KAuF2
_chemical_formula_sum 'K4 Au4 F8'
_symmetry_space_group_name_H-M 'F m -3 m'
_symmetry_Int_Tables_number 225
_symmetry_space_group_name_Hall '-F 4 2 3'
_cell_length_a 6.194
_cell_length_b 6.194
_cell_length_c 6.194
_cell_angle_alpha 90.00
_cell_angle_beta 90.00
_cell_angle_gamma 90.00
loop_
_atom_site_label
_atom_site_type_symbol
_atom_site_fract_x
_atom_site_fract_y
_atom_site_fract_z
K1 K 0.000 0.000 0.000
Au1 Au 0.000 0.000 0.500
F1 F 0.250 0.250 0.250
# * total moment: 0.00 μB per formula unit
# * V: 237.67 Å³ per cell


b | # SCAN KAuF2, single point on PBEsol structure
data_KAuF2
_chemical_formula_sum 'K3 Au3 F6'
_symmetry_space_group_name_H-M 'R -3 m'
_symmetry_Int_Tables_number 166
_symmetry_space_group_name_Hall '-R 3 2"'
_cell_length_a 3.9207
_cell_length_b 3.9207
_cell_length_c 19.4836
_cell_angle_alpha 90.00
_cell_angle_beta 90.00
_cell_angle_gamma 120.00
loop_
_atom_site_label
_atom_site_type_symbol
_atom_site_fract_x
_atom_site_fract_y
_atom_site_fract_z
K1 K 0.0000 0.0000 0.0000
Au1 Au 0.0000 0.0000 0.5000
F1 F 0.0000 0.0000 0.3982
# * total moment: 0.00 μB per formula unit
# * V: 259.37 Å³ per cell


Of them, a has the lowest stability.


a | # SCAN SiAuOF2, single point on PBEsol structure
data_SiAuOF2
_chemical_formula_sum 'Si1 Au1 O1 F2'
_symmetry_space_group_name_H-M 'P 4/m m m'
_symmetry_Int_Tables_number 123
_symmetry_space_group_name_Hall '-P 4 2'
_cell_length_a 4.168
_cell_length_b 4.168
_cell_length_c 3.332
_cell_angle_alpha 90.00
_cell_angle_beta 90.00
_cell_angle_gamma 90.00
loop_
_atom_site_label
_atom_site_type_symbol
_atom_site_fract_x
_atom_site_fract_y
_atom_site_fract_z
Si1 Si 0.000 0.000 0.000
Au1 Au 0.500 0.500 0.500
O1 O 0.000 0.000 0.500
F1 F 0.000 0.500 0.000
# * total moment: 0.00 μB per formula unit
# * V: 57.88 Å³ per cell


b | # SCAN SiAuOF2, single point on PBEsol structure
data_SiAuOF2
_chemical_formula_sum 'Si1 Au1 O1 F2'
_symmetry_space_group_name_H-M 'P 4/m m m'
_symmetry_Int_Tables_number 123
_symmetry_space_group_name_Hall '-P 4 2'
_cell_length_a 4.298
_cell_length_b 4.298
_cell_length_c 4.061
_cell_angle_alpha 90.00
_cell_angle_beta 90.00
_cell_angle_gamma 90.00
loop_
_atom_site_label
_atom_site_type_symbol
_atom_site_fract_x
_atom_site_fract_y
_atom_site_fract_z
Si1 Si 0.000 0.000 0.000
Au1 Au 0.500 0.500 0.500
O1 O 0.500 0.500 0.000
F1 F 0.000 0.500 0.500
# * total moment: 0.00 μB per formula unit
# * V: 75.02 Å³ per cell


Of them, b has the lowest stability.


a | # SCAN ZrAuOF2, single point on PBEsol structure
data_ZrAuOF2
_chemical_formula_sum 'Zr1 Au1 O1 F2'
_symmetry_space_group_name_H-M 'P 4/m m m'
_symmetry_Int_Tables_number 123
_symmetry_space_group_name_Hall '-P 4 2'
_cell_length_a 4.228
_cell_length_b 4.228
_cell_length_c 4.032
_cell_angle_alpha 90.00
_cell_angle_beta 90.00
_cell_angle_gamma 90.00
loop_
_atom_site_label
_atom_site_type_symbol
_atom_site_fract_x
_atom_site_fract_y
_atom_site_fract_z
Zr1 Zr 0.000 0.000 0.000
Au1 Au 0.500 0.500 0.500
O1 O 0.000 0.000 0.500
F1 F 0.000 0.500 0.000
# * total moment: 0.00 μB per formula unit
# * V: 72.06 Å³ per cell


b | # SCAN ZrAuOF2, single point on PBEsol structure
data_ZrAuOF2
_chemical_formula_sum 'Zr1 Au1 O1 F2'
_symmetry_space_group_name_H-M 'P 4/m m m'
_symmetry_Int_Tables_number 123
_symmetry_space_group_name_Hall '-P 4 2'
_cell_length_a 4.400
_cell_length_b 4.400
_cell_length_c 4.003
_cell_angle_alpha 90.00
_cell_angle_beta 90.00
_cell_angle_gamma 90.00
loop_
_atom_site_label
_atom_site_type_symbol
_atom_site_fract_x
_atom_site_fract_y
_atom_site_fract_z
Zr1 Zr 0.000 0.000 0.000
Au1 Au 0.500 0.500 0.500
O1 O 0.500 0.500 0.000
F1 F 0.000 0.500 0.500
# * total moment: 1.91 μB per formula unit
# * V: 77.49 Å³ per cell


Of them, b has the lowest stability.


a | # SCAN Si3AuF, single point on PBEsol structure
data_Si3AuF
_chemical_formula_sum 'Si3 Au1 F1'
_symmetry_space_group_name_H-M 'P m -3 m'
_symmetry_Int_Tables_number 221
_symmetry_space_group_name_Hall '-P 4 2 3'
_cell_length_a 4.317
_cell_length_b 4.317
_cell_length_c 4.317
_cell_angle_alpha 90.00
_cell_angle_beta 90.00
_cell_angle_gamma 90.00
loop_
_atom_site_label
_atom_site_type_symbol
_atom_site_fract_x
_atom_site_fract_y
_atom_site_fract_z
Si1 Si 0.000 0.000 0.500
Au1 Au 0.500 0.500 0.500
F1 F 0.000 0.000 0.000
# * total moment: 0.00 μB per formula unit
# * V: 80.47 Å³ per cell


b | # SCAN Si3AuF, single point on PBEsol structure
data_Si3AuF
_chemical_formula_sum 'Si3 Au1 F1'
_symmetry_space_group_name_H-M 'P m -3 m'
_symmetry_Int_Tables_number 221
_symmetry_space_group_name_Hall '-P 4 2 3'
_cell_length_a 4.815
_cell_length_b 4.815
_cell_length_c 4.815
_cell_angle_alpha 90.00
_cell_angle_beta 90.00
_cell_angle_gamma 90.00
loop_
_atom_site_label
_atom_site_type_symbol
_atom_site_fract_x
_atom_site_fract_y
_atom_site_fract_z
Si1 Si 0.000 0.000 0.500
Au1 Au 0.000 0.000 0.000
F1 F 0.500 0.500 0.500
# * total moment: 0.00 μB per formula unit
# * V: 111.63 Å³ per cell


Of them, b has the lowest stability.


a | # SCAN FeHg2Au, single point on PBEsol structure
data_FeHg2Au
_chemical_formula_sum 'Fe1 Hg2 Au1'
_symmetry_space_group_name_H-M 'P 4 m m'
_symmetry_Int_Tables_number 99
_symmetry_space_group_name_Hall 'P 4 -2'
_cell_length_a 2.922
_cell_length_b 2.922
_cell_length_c 8.332
_cell_angle_alpha 90.00
_cell_angle_beta 90.00
_cell_angle_gamma 90.00
loop_
_atom_site_label
_atom_site_type_symbol
_atom_site_fract_x
_atom_site_fract_y
_atom_site_fract_z
Fe1 Fe 0.000 0.000 0.000
Hg1 Hg 0.000 0.000 0.529
Hg2 Hg 0.500 0.500 0.227
Au1 Au 0.500 0.500 0.798
# * total moment: 3.17 μB per formula unit
# * V: 71.16 Å³ per cell


b | # SCAN FeHg2Au, single point on PBEsol structure
data_FeHg2Au
_chemical_formula_sum 'Fe2 Hg4 Au2'
_symmetry_space_group_name_H-M 'I 4/m m m'
_symmetry_Int_Tables_number 139
_symmetry_space_group_name_Hall '-I 4 2'
_cell_length_a 4.327
_cell_length_b 4.327
_cell_length_c 7.483
_cell_angle_alpha 90.00
_cell_angle_beta 90.00
_cell_angle_gamma 90.00
loop_
_atom_site_label
_atom_site_type_symbol
_atom_site_fract_x
_atom_site_fract_y
_atom_site_fract_z
Fe1 Fe 0.000 0.000 0.000
Hg1 Hg 0.000 0.500 0.250
Au1 Au 0.000 0.000 0.500
# * total moment: 3.01 μB per formula unit
# * V: 140.09 Å³ per cell


Of them, b has the lowest stability.


a | # SCAN FeIrAu, single point on PBEsol structure
data_FeIrAu
_chemical_formula_sum 'Fe4 Ir4 Au4'
_symmetry_space_group_name_H-M 'F -4 3 m'
_symmetry_Int_Tables_number 216
_symmetry_space_group_name_Hall 'F -4 2 3'
_cell_length_a 5.944
_cell_length_b 5.944
_cell_length_c 5.944
_cell_angle_alpha 90.00
_cell_angle_beta 90.00
_cell_angle_gamma 90.00
loop_
_atom_site_label
_atom_site_type_symbol
_atom_site_fract_x
_atom_site_fract_y
_atom_site_fract_z
Fe1 Fe 0.000 0.000 0.000
Ir1 Ir 0.000 0.000 0.500
Au1 Au 0.250 0.250 0.250
# * total moment: 4.52 μB per formula unit
# * V: 209.96 Å³ per cell


b | # SCAN FeIrAu, single point on PBEsol structure
data_FeIrAu
_chemical_formula_sum 'Fe1 Ir1 Au1'
_symmetry_space_group_name_H-M 'P 3 m 1'
_symmetry_Int_Tables_number 156
_symmetry_space_group_name_Hall 'P 3 -2"'
_cell_length_a 4.3161
_cell_length_b 4.3161
_cell_length_c 2.7035
_cell_angle_alpha 90.00
_cell_angle_beta 90.00
_cell_angle_gamma 120.00
loop_
_atom_site_label
_atom_site_type_symbol
_atom_site_fract_x
_atom_site_fract_y
_atom_site_fract_z
Fe1 Fe 0.0000 0.0000 0.0000
Ir1 Ir 0.3333 0.6667 0.7804
Au1 Au 0.6667 0.3333 0.3222
# * total moment: 4.11 μB per formula unit
# * V: 43.62 Å³ per cell


c | # SCAN FeIrAu, single point on PBEsol structure
data_FeIrAu
_chemical_formula_sum 'Fe4 Ir4 Au4'
_symmetry_space_group_name_H-M 'F m m 2'
_symmetry_Int_Tables_number 42
_symmetry_space_group_name_Hall 'F 2 -2'
_cell_length_a 2.782
_cell_length_b 4.607
_cell_length_c 13.690
_cell_angle_alpha 90.00
_cell_angle_beta 90.00
_cell_angle_gamma 90.00
loop_
_atom_site_label
_atom_site_type_symbol
_atom_site_fract_x
_atom_site_fract_y
_atom_site_fract_z
Fe1 Fe 0.000 0.000 0.000
Ir1 Ir 0.000 0.000 0.651
Au1 Au 0.000 0.000 0.334
# * total moment: 3.69 μB per formula unit
# * V: 175.47 Å³ per cell


Of them, a has the lowest stability.